# 1
Entry from Alexandria: a PBEsol-optimized structure of Sn2OsRhI (SCAN).

Summary:
Size of the total moment = 2.47 μB per formula unit
Symmetry = P4/mmm, No. 123

Structure (POSCAR):
```
Sn2OsRhI
1.0
-3.129 1.818 3.406
-0.592 -4.558 1.890
3.989 0.820 3.227
I Rh Os Sn
1 1 1 2
Cartesian
1.994 0.410 1.613
0.000 0.000 0.000
0.134 -0.960 4.261
-0.296 -2.279 0.945
-1.565 0.909 1.703
```


# 2
Entry from Alexandria: a PBEsol-optimized structure of SbOsRuI2 (SCAN).

Summary:
Size of the total moment = 3.27 μB per formula unit
Symmetry = P4/mmm, No. 123

Structure (POSCAR):
```
SbOsRuI2
1.0
-3.409 -3.520 0.633
3.648 -3.743 -1.165
1.309 -0.337 5.181
I Sb Os Ru
2 1 1 1
Cartesian
0.655 -0.168 2.591
1.824 -1.871 -0.583
-1.705 -1.760 0.316
0.000 0.000 0.000
0.774 -3.800 2.324
```


# 3
Entry from Alexandria: a PBEsol-optimized structure of TeOsSI2 (SCAN).

Summary:
Size of the total moment = 0.00 μB per formula unit
Symmetry = P4/mmm, No. 123

Structure (POSCAR):
```
TeOsSI2
1.0
5.008 0.000 0.000
0.000 5.306 0.000
0.000 0.000 5.306
I S Te Os
2 1 1 1
Cartesian
0.000 0.000 2.653
0.000 2.653 0.000
2.504 2.653 2.653
2.504 0.000 0.000
0.000 0.000 0.000
```


# 4
Entry from Alexandria: a PBEsol-optimized structure of SiSbOsI2 (SCAN).

Summary:
Size of the total moment = 3.44 μB per formula unit
Symmetry = P4/mmm, No. 123

Structure (POSCAR):
```
SiSbOsI2
1.0
5.163 0.000 0.000
0.000 5.163 0.000
0.000 0.000 5.309
I Sb Si Os
2 1 1 1
Cartesian
0.000 2.581 0.000
2.581 0.000 0.000
0.000 0.000 2.654
0.000 0.000 0.000
2.581 2.581 2.654
```


# 5
Entry from Alexandria: a PBEsol-optimized structure of TaSbOsI2 (SCAN).

Summary:
Size of the total moment = 2.76 μB per formula unit
Symmetry = P4/mmm, No. 123
Excess energy over the best structure of this formula in the dataset = 0.000 eV per atom

Structure (POSCAR):
```
TaSbOsI2
1.0
-1.224 4.099 2.613
-0.110 -2.838 4.400
5.077 1.017 0.782
I Sb Os Ta
2 1 1 1
Cartesian
2.538 0.508 0.391
-0.055 -1.419 2.200
-0.612 2.050 1.307
0.000 0.000 0.000
1.872 1.139 3.898
```


# 6
Entry from Alexandria: a PBEsol-optimized structure of TaSbOsI2 (SCAN).

Summary:
Size of the total moment = 4.03 μB per formula unit
Symmetry = P4/mmm, No. 123
Excess energy over the best structure of this formula in the dataset = 0.635 eV per atom

Structure (POSCAR):
```
TaSbOsI2
1.0
4.920 0.000 0.000
0.000 5.729 0.000
0.000 0.000 5.729
I Sb Os Ta
2 1 1 1
Cartesian
0.000 0.000 2.864
0.000 2.864 0.000
0.000 0.000 0.000
2.460 0.000 0.000
2.460 2.864 2.864
```


Number 1: total DFT energy (no corrections) -207.7 eV for the cell shown. Number 2: total DFT energy (no corrections) -210.2 eV for the cell shown. Number 3: total DFT energy (no corrections) -187.3 eV for the cell shown. Number 4: total DFT energy (no corrections) -184.2 eV for the cell shown. Number 5: total DFT energy (no corrections) -241.1 eV for the cell shown. Number 6: total DFT energy (no corrections) -237.9 eV for the cell shown.